The following is a DFT calculation (GGA-PBE) of an optimized crystal structure of PdRhAu2.

Values from the calculation:
As for the calculated formation energy: 95 meV per atom. The calculation puts the energy above the most stable polymorph in this dataset at 0.00 eV/f.u. For the volume, the calculation gives 16.38 Å³ per atom. The value obtained for the density of states at the Fermi level is 5.0 states/eV per cell.

Cell: 2.8304 2.8304 8.1797 Å, 90.00 90.00 90.00°
Sites, in units of the cell vectors:
Pd  0.0000  0.0000  0.0000
Rh  0.0000  0.0000  0.5000
Au  0.5000  0.5000  0.2520
Au  0.5000  0.5000  0.7480

***

The following is a DFT calculation (GGA-PBE) of an optimized crystal structure of Pd2RhAu2.

Values from the calculation:
As for the calculated formation energy: 341 meV per atom. The calculation puts the energy above the most stable polymorph in this dataset at 0.00 eV/f.u. For the volume, the calculation gives 17.39 Å³ per atom. The value obtained for the density of states at the Fermi level is 13.4 states/eV per cell.

Cell: 6.9883 6.9883 3.5603 Å, 90.00 90.00 90.00°
Sites, in units of the cell vectors:
Pd  0.1376  0.3624  0.0000
Pd  0.3624  0.8624  0.0000
Pd  0.6376  0.1376  0.0000
Pd  0.8624  0.6376  0.0000
Rh  0.0000  0.0000  0.0000
Rh  0.5000  0.5000  0.0000
Au  0.1628  0.6628  0.5000
Au  0.3372  0.1628  0.5000
Au  0.6628  0.8372  0.5000
Au  0.8372  0.3372  0.5000

***

The following is a DFT calculation (GGA-PBE) of an optimized crystal structure of Pd2RhAu.

Values from the calculation:
As for the calculated formation energy: 54 meV per atom. For the volume, the calculation gives 15.75 Å³ per atom. The value obtained for the density of states at the Fermi level is 6.6 states/eV per cell.

Cell: 2.8083 2.8083 9.3618 Å, 98.53 98.53 60.01°
Sites, in units of the cell vectors:
Pd  0.0000  0.0000  0.0000
Pd  0.1757  0.1757  0.5224
Rh  0.5876  0.5876  0.7604
Au  0.7554  0.7554  0.2621

***

The following is a DFT calculation (GGA-PBE) of an optimized crystal structure of Pd12RhAu3.

Values from the calculation:
As for the calculated formation energy: -11 meV per atom. For the volume, the calculation gives 15.89 Å³ per atom. The value obtained for the density of states at the Fermi level is 27.1 states/eV per cell.

Cell: 3.9940 3.9940 15.9362 Å, 90.00 90.00 90.00°
Sites, in units of the cell vectors:
Pd  0.0000  0.0000  0.0000
Pd  0.0000  0.0000  0.2472
Pd  0.0000  0.0000  0.5000
Pd  0.0000  0.0000  0.7528
Pd  0.0000  0.5000  0.1202
Pd  0.0000  0.5000  0.3737
Pd  0.0000  0.5000  0.6263
Pd  0.0000  0.5000  0.8798
Pd  0.5000  0.0000  0.1202
Pd  0.5000  0.0000  0.3737
Pd  0.5000  0.0000  0.6263
Pd  0.5000  0.0000  0.8798
Rh  0.5000  0.5000  0.0000
Au  0.5000  0.5000  0.2472
Au  0.5000  0.5000  0.5000
Au  0.5000  0.5000  0.7528